(1)
DFT (PBE-GGA) results for a relaxed structure of LiTbCeIn.

Output
D(E_F), states/eV per cell: 42.29
Total magnetization, μB per formula unit: 1.02
Theoretical density, g cm⁻³: 6.466
Energy, Ha/atom: -0.1452

Cell and atoms, written as CIF:
```
data_LiTbCeIn
_chemical_formula_sum 'Li4 Tb4 Ce4 In4'
_symmetry_space_group_name_H-M 'F -4 3 m'
_symmetry_Int_Tables_number 216
_symmetry_space_group_name_Hall 'F -4 2 3'
_cell_length_a 7.5609
_cell_length_b 7.5609
_cell_length_c 7.5609
_cell_angle_alpha 90.00
_cell_angle_beta 90.00
_cell_angle_gamma 90.00
loop_
_atom_site_label
_atom_site_type_symbol
_atom_site_fract_x
_atom_site_fract_y
_atom_site_fract_z
Li1 Li 0.0000 0.0000 0.0000
Tb1 Tb 0.2500 0.2500 0.7500
Ce1 Ce 0.2500 0.2500 0.2500
In1 In 0.0000 0.0000 0.5000
```

---

(2)
DFT (PBE-GGA) results for a relaxed structure of Ba2TmH8.

Output
D(E_F), states/eV per cell: 3.83
Total magnetization, μB per formula unit: 0.00
Theoretical density, g cm⁻³: 5.191
Energy, Ha/atom: -0.1288

Cell and atoms, written as CIF:
```
data_Ba2TmH8
_chemical_formula_sum 'Ba4 Tm2 H16'
_symmetry_space_group_name_H-M 'C 1 2/m 1'
_symmetry_Int_Tables_number 12
_symmetry_space_group_name_Hall '-C 2y'
_cell_length_a 13.5889
_cell_length_b 3.9861
_cell_length_c 5.9258
_cell_angle_alpha 90.00
_cell_angle_beta 115.82
_cell_angle_gamma 90.00
loop_
_atom_site_label
_atom_site_type_symbol
_atom_site_fract_x
_atom_site_fract_y
_atom_site_fract_z
Ba1 Ba 0.1729 0.0000 0.1730
Tm1 Tm 0.0000 0.5000 0.5000
H1 H 0.0000 0.0000 0.2968
H2 H 0.1338 0.5000 0.4011
H3 H 0.1336 0.5000 0.8664
H4 H 0.1789 0.0000 0.6780
```

---

(3)
DFT (PBE-GGA) results for a relaxed structure of Rb2TcAs.

Output
D(E_F), states/eV per cell: 13.78
Total magnetization, μB per formula unit: 1.53
Theoretical density, g cm⁻³: 2.734
Energy, Ha/atom: -0.1385

Cell and atoms, written as CIF:
```
data_Rb2TcAs
_chemical_formula_sum 'Rb8 Tc4 As4'
_symmetry_space_group_name_H-M 'I -4 2 d'
_symmetry_Int_Tables_number 122
_symmetry_space_group_name_Hall 'I -4 2bw'
_cell_length_a 13.2746
_cell_length_b 13.2746
_cell_length_c 4.7403
_cell_angle_alpha 90.00
_cell_angle_beta 90.00
_cell_angle_gamma 90.00
loop_
_atom_site_label
_atom_site_type_symbol
_atom_site_fract_x
_atom_site_fract_y
_atom_site_fract_z
Rb1 Rb 0.0012 0.2500 0.1250
Tc1 Tc 0.0000 0.0000 0.0000
As1 As 0.0000 0.0000 0.5000
```

---

(4)
DFT (PBE-GGA) results for a relaxed structure of CaRh2Au.

Output
D(E_F), states/eV per cell: 3.96
Total magnetization, μB per formula unit: 0.00
Theoretical density, g cm⁻³: 10.481
Energy, Ha/atom: -0.1877

Cell and atoms, written as CIF:
```
data_CaRh2Au
_chemical_formula_sum 'Ca1 Rh2 Au1'
_symmetry_space_group_name_H-M 'P m m m'
_symmetry_Int_Tables_number 47
_symmetry_space_group_name_Hall '-P 2 2'
_cell_length_a 3.1180
_cell_length_b 4.6646
_cell_length_c 4.8242
_cell_angle_alpha 90.00
_cell_angle_beta 90.00
_cell_angle_gamma 90.00
loop_
_atom_site_label
_atom_site_type_symbol
_atom_site_fract_x
_atom_site_fract_y
_atom_site_fract_z
Ca1 Ca 0.0000 0.0000 0.0000
Rh1 Rh 0.0000 0.5000 0.5000
Rh2 Rh 0.5000 0.5000 0.0000
Au1 Au 0.5000 0.0000 0.5000
```

---

(5)
DFT (PBE-GGA) results for a relaxed structure of YCu2Si.

Output
D(E_F), states/eV per cell: 5.12
ΔE_f (raw), eV/atom: -0.38
Total magnetization, μB per formula unit: 0.00
Theoretical density, g cm⁻³: 5.927

Cell and atoms, written as CIF:
```
data_YCu2Si
_chemical_formula_sum 'Y2 Cu4 Si2'
_symmetry_space_group_name_H-M 'C 1 2/m 1'
_symmetry_Int_Tables_number 12
_symmetry_space_group_name_Hall '-C 2y'
_cell_length_a 7.0340
_cell_length_b 4.0545
_cell_length_c 5.3192
_cell_angle_alpha 90.00
_cell_angle_beta 115.64
_cell_angle_gamma 90.00
loop_
_atom_site_label
_atom_site_type_symbol
_atom_site_fract_x
_atom_site_fract_y
_atom_site_fract_z
Y1 Y 0.0000 0.0000 0.0000
Cu1 Cu 0.2049 0.0000 0.6156
Si1 Si 0.0000 0.5000 0.5000
```